The following is a DFT calculation (PBE) of a relaxed structure of HoCoNi2.

Cell lengths 4.7461, 4.4785, 11.7710 Å; angles 90.00, 90.00, 90.00 degrees
Last column: nearest neighbours and their distance in Å.
Space group Pmma (No. 51)
Inequivalent atoms, fractional coordinates:
Ho 0.2500 0.0000 0.0960 (multiplicity 2)  8 Ni 2.74-2.77
Ho 0.2500 0.5000 0.3197 (multiplicity 2)  3 Co 2.67-2.85
Co 0.2500 0.0000 0.6706 (multiplicity 2)  4 Ni 2.31-2.33
Co 0.2500 0.5000 0.5462 (multiplicity 2)  4 Ni 2.59, 4 Co 2.61-2.68, 3 Ho 2.67-2.85
Ni 0.0000 0.0000 0.5000 (multiplicity 2)  6 Co 2.33-2.59, 2 Ni 2.37
Ni 0.0000 0.5000 0.0000 (multiplicity 2)  6 Ni 2.37-2.47
Ni 0.2500 0.2560 0.8408 (multiplicity 4)  2 Ni 2.19-2.29, 1 Co 2.31

Calculated density, g/cm³: 9.1
Calculated formation energy, eV/atom: -0.105


The following is a DFT calculation (PBE) of a relaxed structure of PPt2Cl.

Cell lengths 2.8615, 4.1991, 11.1184 Å; angles 90.00, 90.00, 90.00 degrees
Last column: nearest neighbours and their distance in Å.
Space group Imm2 (No. 44)
Inequivalent atoms, fractional coordinates:
P 0.0000 0.0000 0.0000 (multiplicity 2)  6 Pt 2.55-2.61
Pt 0.0000 0.0000 0.4450 (multiplicity 2)  4 P 2.61, 2 Pt 2.86
Pt 0.0000 0.5000 0.6903 (multiplicity 2)  2 P 2.55, 4 Cl 2.56
Cl 0.0000 0.5000 0.2172 (multiplicity 2)  4 Pt 2.56, 2 Cl 2.86

Calculated density, g/cm³: 11.4
Formation energy from raw total energies, eV per atom: 0.267
Energy above the lowest structure with this stoichiometry, eV per atom: 0.5263


The following is a DFT calculation (PBE) of a relaxed structure of PrDy4Tm4.

Cell lengths 10.6264, 10.6264, 4.9801 Å; angles 90.00, 90.00, 90.00 degrees
Last column: nearest neighbours and their distance in Å.
Space group I4/mmm (No. 139)
Inequivalent atoms, fractional coordinates:
Pr 0.0000 0.0000 0.0000 (multiplicity 2)  4 Dy 3.54, 8 Tm 3.54
Dy 0.0000 0.3335 0.0000 (multiplicity 8)  6 Tm 3.53, 5 Dy 3.53-3.54, 1 Pr 3.54
Tm 0.1678 0.1678 0.5000 (multiplicity 8)  4 Tm 3.51-3.57, 6 Dy 3.53, 2 Pr 3.54

Calculated density, g/cm³: 8.7
Energy above the lowest structure with this stoichiometry, eV per atom: 0.0000
Calculated formation energy, eV/atom: 0.024


The following is a DFT calculation (PBE) of a relaxed structure of VSb2C.

Cell lengths 6.2050, 6.2050, 8.7471 Å; angles 90.00, 90.00, 90.00 degrees
Last column: nearest neighbours and their distance in Å.
Space group I-42d (No. 122)
Inequivalent atoms, fractional coordinates:
V 0.0000 0.0000 0.0000 (multiplicity 4)  4 Sb 2.73
Sb 0.1832 0.2500 0.6250 (multiplicity 8)  2 C 2.21
C 0.0000 0.0000 0.5000 (multiplicity 4)  4 Sb 2.21

Calculated density, g/cm³: 6.0
Formation energy from raw total energies, eV per atom: 0.903


The following is a DFT calculation (PBE) of a relaxed structure of BaTa2Al.

Cell lengths 4.3965, 4.3965, 9.2176 Å; angles 90.00, 90.00, 90.00 degrees
Last column: nearest neighbours and their distance in Å.
Space group I4/mmm (No. 139)
Inequivalent atoms, fractional coordinates:
Ba 0.0000 0.0000 0.0000 (multiplicity 2)  4 Al 3.11, 8 Ta 3.18
Ta 0.0000 0.5000 0.2500 (multiplicity 4)  4 Ta 3.11, 4 Ba 3.18, 4 Al 3.18
Al 0.0000 0.0000 0.5000 (multiplicity 2)  4 Ba 3.11, 8 Ta 3.18

Calculated density, g/cm³: 9.8
Calculated formation energy, eV/atom: 1.032


The following is a DFT calculation (PBE) of a relaxed structure of YZrV.

Cell lengths 3.3833, 6.6344, 6.7366 Å; angles 96.62, 104.53, 104.49 degrees
Last column: nearest neighbours and their distance in Å.
Space group P-1 (No. 2)
Inequivalent atoms, fractional coordinates:
Y 0.0719 0.2444 0.4273 (multiplicity 2)  3 V 3.03-3.08, 2 Y 3.38
Zr 0.2207 0.8416 0.1108 (multiplicity 2)  4 V 2.87-2.98, 1 Zr 3.17
V 0.4590 0.5270 0.8550 (multiplicity 2)  1 V 1.99

Calculated density, g/cm³: 5.5
Energy above the lowest structure with this stoichiometry, eV per atom: 0.0633
Calculated formation energy, eV/atom: 0.245


The following is a DFT calculation (PBE) of a relaxed structure of KHgPb4.

Cell lengths 9.3471, 9.3471, 9.3471 Å; angles 90.00, 90.00, 90.00 degrees
Last column: nearest neighbours and their distance in Å.
Space group F-43m (No. 216)
Inequivalent atoms, fractional coordinates:
K 0.0000 0.0000 0.0000 (multiplicity 4)  12 Pb 3.88, 4 Hg 4.05
Hg 0.2500 0.2500 0.2500 (multiplicity 4)  12 Pb 3.87, 4 K 4.05
Pb 0.1249 0.1249 0.6249 (multiplicity 16)  6 Pb 3.30-3.31

Calculated density, g/cm³: 8.7
Calculated formation energy, eV/atom: -0.022


The following is a DFT calculation (PBE) of a relaxed structure of BeVAu.

Cell lengths 3.0441, 3.0441, 8.6390 Å; angles 90.00, 90.00, 90.00 degrees
Last column: nearest neighbours and their distance in Å.
Space group P4mm (No. 99)
Inequivalent atoms, fractional coordinates:
Be 0.0000 0.0000 0.0000 (multiplicity 1)  8 Au 2.54-2.62
Be 0.0000 0.0000 0.3330 (multiplicity 1)  5 V 2.53-2.55, 4 Au 2.56
V 0.0000 0.0000 0.6260 (multiplicity 1)  4 V 2.45, 1 Be 2.53
V 0.5000 0.5000 0.4908 (multiplicity 1)  4 V 2.45, 4 Be 2.55
Au 0.5000 0.5000 0.1730 (multiplicity 1)  8 Be 2.56-2.62, 1 V 2.75, 1 Au 2.85
Au 0.5000 0.5000 0.8429 (multiplicity 1)  4 Be 2.54

Calculated density, g/cm³: 10.7
Energy above the lowest structure with this stoichiometry, eV per atom: 0.0499
Calculated formation energy, eV/atom: -0.039


The following is a DFT calculation (PBE) of a relaxed structure of PuBiBr5.

Cell lengths 8.2064, 4.0860, 16.4797 Å; angles 90.00, 90.92, 90.00 degrees
Last column: nearest neighbours and their distance in Å.
Space group P2_1/m (No. 11)
Inequivalent atoms, fractional coordinates:
Pu 0.1262 0.2500 0.1182 (multiplicity 2)  7 Br 2.90-3.08
Bi 0.3614 0.7500 0.3856 (multiplicity 2)  5 Br 2.88-3.16
Br 0.0746 0.7500 0.2550 (multiplicity 2)  2 Pu 3.08, 1 Bi 3.16
Br 0.1266 0.2500 0.9314 (multiplicity 2)  3 Pu 3.02-3.08
Br 0.2973 0.2500 0.5096 (multiplicity 2)  3 Bi 2.94-3.27
Br 0.3666 0.7500 0.0856 (multiplicity 2)  2 Pu 2.90
Br 0.4765 0.2500 0.2771 (multiplicity 2)  2 Bi 2.88

Calculated density, g/cm³: 5.1
Formation energy from raw total energies, eV per atom: -1.049


The following is a DFT calculation (PBE) of a relaxed structure of ErTmIn2.

Cell lengths 7.4558, 7.4558, 7.4558 Å; angles 90.00, 90.00, 90.00 degrees
Last column: nearest neighbours and their distance in Å.
Space group Fm-3m (No. 225)
Inequivalent atoms, fractional coordinates:
Er 0.0000 0.0000 0.0000 (multiplicity 4)  8 In 3.23
Tm 0.0000 0.0000 0.5000 (multiplicity 4)  8 In 3.23
In 0.2500 0.2500 0.2500 (multiplicity 8)  4 Er 3.23, 4 Tm 3.23

Calculated density, g/cm³: 9.1
Calculated formation energy, eV/atom: -0.432


The following is a DFT calculation (PBE) of a relaxed structure of Li2CaZnF6.

Cell lengths 5.3266, 5.3266, 14.3976 Å; angles 90.00, 90.00, 120.00 degrees
Last column: nearest neighbours and their distance in Å.
Space group R3 (No. 146, hexagonal axes)
Inequivalent atoms, fractional coordinates:
Li 0.0000 0.0000 0.0000 (multiplicity 3)  3 F 1.95
Li 0.0000 0.0000 0.4973 (multiplicity 3)  6 F 2.01-2.22
Ca 0.0000 0.0000 0.2129 (multiplicity 3)  6 F 2.23-2.32
Zn 0.0000 0.0000 0.7056 (multiplicity 3)  6 F 2.05-2.11
F 0.0042 0.3204 0.1026 (multiplicity 9)  1 Li 2.01, 1 Zn 2.05
F 0.0219 0.6268 0.2738 (multiplicity 9)  1 Li 1.95, 1 Zn 2.11

Calculated density, g/cm³: 3.3
Formation energy from raw total energies, eV per atom: -3.023


The following is a DFT calculation (PBE) of a relaxed structure of CaZrSbO6.

Cell lengths 5.5234, 5.5234, 9.7531 Å; angles 90.00, 90.00, 120.00 degrees
Last column: nearest neighbours and their distance in Å.
Space group P-31c (No. 163)
Inequivalent atoms, fractional coordinates:
Ca 0.0000 0.0000 0.0000 (multiplicity 2)  6 O 2.42
Zr 0.3333 0.6667 0.2500 (multiplicity 2)  6 O 2.13
Sb 0.3333 0.6667 0.7500 (multiplicity 2)  6 O 2.01
O 0.0164 0.3706 0.6386 (multiplicity 12)  1 Sb 2.01, 1 Zr 2.13

Calculated density, g/cm³: 4.5
Formation energy from raw total energies, eV per atom: -2.238


The following is a DFT calculation (PBE) of a relaxed structure of VAsN.

Cell lengths 2.9968, 2.9968, 6.5628 Å; angles 90.00, 90.00, 120.00 degrees
Last column: nearest neighbours and their distance in Å.
Space group P3m1 (No. 156)
Inequivalent atoms, fractional coordinates:
V 0.0000 0.0000 0.0000 (multiplicity 1)  3 N 1.88
As 0.6667 0.3333 0.3185 (multiplicity 1)  3 V 2.71, 6 As 3.00
N 0.3333 0.6667 0.8891 (multiplicity 1)  3 V 1.88

Calculated density, g/cm³: 4.6
Formation energy from raw total energies, eV per atom: -0.333
Energy above the lowest structure with this stoichiometry, eV per atom: 0.0000


The following is a DFT calculation (PBE) of a relaxed structure of CaNi5As4.

Cell lengths 8.3412, 8.3412, 4.8566 Å; angles 90.00, 90.00, 90.00 degrees
Last column: nearest neighbours and their distance in Å.
Space group P4/nmm (No. 129, origin choice 2)
Inequivalent atoms, fractional coordinates:
Ca 0.2500 0.7500 0.0000 (multiplicity 2)  4 As 2.98, 8 Ni 3.19
Ni 0.0188 0.0188 0.2445 (multiplicity 8)  2 Ni 2.42-2.52, 4 As 2.43-2.49
Ni 0.2500 0.2500 0.3370 (multiplicity 2)  4 As 2.35
As 0.0016 0.2500 0.5658 (multiplicity 8)  5 Ni 2.35-2.49

Calculated density, g/cm³: 6.2
Calculated formation energy, eV/atom: -0.079


The following is a DFT calculation (PBE) of a relaxed structure of TbPr4Tm2Mg.

Cell lengths 5.7899, 5.7899, 7.7892 Å; angles 90.00, 90.00, 90.00 degrees
Last column: nearest neighbours and their distance in Å.
Space group P4/mmm (No. 123)
Inequivalent atoms, fractional coordinates:
Tb 0.0000 0.0000 0.0000 (multiplicity 1)  8 Pr 3.53, 2 Tm 3.89
Pr 0.0000 0.5000 0.2604 (multiplicity 4)  2 Mg 3.44, 4 Tm 3.44-3.53, 2 Tb 3.53, 1 Pr 3.73
Tm 0.0000 0.0000 0.5000 (multiplicity 1)  8 Pr 3.44
Tm 0.5000 0.5000 0.0000 (multiplicity 1)  8 Pr 3.53, 2 Mg 3.89
Mg 0.5000 0.5000 0.5000 (multiplicity 1)  8 Pr 3.44

Calculated density, g/cm³: 6.9
Calculated formation energy, eV/atom: 0.042


The following is a DFT calculation (PBE) of a relaxed structure of Be2CrIr.

Cell lengths 2.7578, 3.8947, 7.8712 Å; angles 90.00, 90.00, 90.00 degrees
Last column: nearest neighbours and their distance in Å.
Space group Imm2 (No. 44)
Inequivalent atoms, fractional coordinates:
Be 0.0000 0.0000 0.0000 (multiplicity 2)  2 Be 2.23, 4 Ir 2.39, 2 Cr 2.43
Be 0.0000 0.5000 0.2779 (multiplicity 2)  2 Be 2.23, 4 Cr 2.39, 2 Ir 2.43
Cr 0.0000 0.5000 0.7547 (multiplicity 2)  6 Be 2.39-2.43, 4 Ir 2.53-2.66
Ir 0.0000 0.0000 0.5244 (multiplicity 2)  6 Be 2.39-2.43, 4 Cr 2.53-2.66

Calculated density, g/cm³: 10.3
Calculated formation energy, eV/atom: -0.202


The following is a DFT calculation (PBE) of a relaxed structure of ScBe3Bi.

Cell lengths 4.7652, 4.7652, 4.7652 Å; angles 90.00, 90.00, 90.00 degrees
Last column: nearest neighbours and their distance in Å.
Space group Pm-3m (No. 221)
Inequivalent atoms, fractional coordinates:
Sc 0.0000 0.0000 0.0000 (multiplicity 1)  6 Be 2.38
Be 0.0000 0.0000 0.5000 (multiplicity 3)  2 Sc 2.38
Bi 0.5000 0.5000 0.5000 (multiplicity 1)  12 Be 3.37

Calculated density, g/cm³: 4.3
Energy above the lowest structure with this stoichiometry, eV per atom: 0.1901
Calculated formation energy, eV/atom: 1.468


The following is a DFT calculation (PBE) of a relaxed structure of MnCu2S4.

Cell lengths 6.6898, 6.8383, 10.3297 Å; angles 90.00, 90.00, 90.00 degrees
Last column: nearest neighbours and their distance in Å.
Space group Imma (No. 74)
Inequivalent atoms, fractional coordinates:
Mn 0.2500 0.2500 0.2500 (multiplicity 4)  6 S 2.32-2.35
Cu 0.0000 0.0000 0.0000 (multiplicity 4)  4 S 2.30
Cu 0.0000 0.2500 0.6074 (multiplicity 4)  4 S 2.26-2.29
S 0.0000 0.0157 0.2582 (multiplicity 8)  1 Cu 2.29, 2 Mn 2.32
S 0.2280 0.2500 0.0230 (multiplicity 8)  3 Cu 2.26-2.30, 1 Mn 2.35

Calculated density, g/cm³: 4.4
Formation energy from raw total energies, eV per atom: -0.312
Energy above the lowest structure with this stoichiometry, eV per atom: 0.0000


The following is a DFT calculation (PBE) of a relaxed structure of Li2CeAs2Pd2.

Cell lengths 4.3174, 4.3174, 22.7569 Å; angles 90.00, 90.00, 120.00 degrees
Last column: nearest neighbours and their distance in Å.
Space group R-3m (No. 166, hexagonal axes)
Inequivalent atoms, fractional coordinates:
Li 0.0000 0.0000 0.1419 (multiplicity 6)  4 As 2.60-2.90, 3 Pd 2.70, 3 Li 2.74
Ce 0.0000 0.0000 0.0000 (multiplicity 3)  6 As 3.05, 2 Li 3.23, 6 Pd 3.31
As 0.0000 0.0000 0.2563 (multiplicity 6)  3 Pd 2.53, 1 Li 2.60
Pd 0.0000 0.0000 0.4293 (multiplicity 6)  3 As 2.53, 3 Li 2.70

Calculated density, g/cm³: 7.0
Calculated formation energy, eV/atom: -0.893


The following is a DFT calculation (PBE) of a relaxed structure of Tm3Ga7Rh2.

Cell lengths 4.1573, 4.0936, 13.5470 Å; angles 90.00, 98.77, 90.00 degrees
Last column: nearest neighbours and their distance in Å.
Space group P2/m (No. 10)
Inequivalent atoms, fractional coordinates:
Tm 0.0000 0.0000 0.0000 (multiplicity 1)  12 Ga 2.92-2.99
Tm 0.3200 0.5000 0.6409 (multiplicity 2)  10 Ga 3.15-3.38, 4 Rh 3.18-3.19
Ga 0.0802 0.5000 0.1600 (multiplicity 2)  2 Rh 2.47
Ga 0.2239 0.0000 0.4477 (multiplicity 2)  1 Rh 2.47, 2 Ga 2.50-2.51
Ga 0.4198 0.0000 0.8391 (multiplicity 2)  2 Rh 2.49
Ga 0.5000 0.5000 0.0000 (multiplicity 1)  4 Tm 2.92, 8 Ga 2.97-2.99
Rh 0.1311 0.0000 0.2635 (multiplicity 2)  5 Ga 2.47-2.49

Calculated density, g/cm³: 8.8
Calculated formation energy, eV/atom: -0.670